Entry 1:
CsK2F2 | PBE-GGA | optimized geometry

Lattice parameters (Å, degrees): 8.6677 8.6677 8.6677 146.07 146.07 48.75
Closest atoms and distances in Å follow each position.
Fractional positions:
Cs 0.0000 0.0000 0.0000  10 K 4.57-4.88, 8 F 4.69, 4 Cs 5.06
K 0.2895 0.2895 0.0000  4 F 2.61
K 0.7105 0.7105 0.0000  4 F 2.61
F 0.2500 0.7500 0.5000  4 K 2.61
F 0.7500 0.2500 0.5000  4 K 2.61

Computed properties:
DFT total energy: -16.97 eV per cell
raw formation energy: -2.04 eV per atom
SG: I4/mmm (139)
mass density: 2.0 g/cm³


Entry 2:
Ca2ErTe3 | PBE-GGA | optimized geometry

Lattice parameters (Å, degrees): 7.6674 7.6674 7.7073 99.53 99.53 119.99
Closest atoms and distances in Å follow each position.
Fractional positions:
Ca 0.0000 0.0000 0.0000  6 Te 3.14-3.15
Ca 0.1645 0.8355 0.5000  6 Te 3.15-3.18
Ca 0.5000 0.5000 0.5000  6 Te 3.13-3.18
Ca 0.8355 0.1645 0.5000  6 Te 3.15-3.18
Er 0.3330 0.6670 0.0000  6 Te 3.09
Er 0.6670 0.3330 0.0000  6 Te 3.09
Te 0.0816 0.4202 0.2442  2 Er 3.09, 4 Ca 3.15-3.18
Te 0.2580 0.2580 0.7577  2 Er 3.09, 4 Ca 3.13-3.17
Te 0.4202 0.0816 0.2442  2 Er 3.09, 4 Ca 3.15-3.18
Te 0.5798 0.9184 0.7558  2 Er 3.09, 4 Ca 3.15-3.18
Te 0.7420 0.7420 0.2423  2 Er 3.09, 4 Ca 3.13-3.17
Te 0.9184 0.5798 0.7558  2 Er 3.09, 4 Ca 3.15-3.18

Computed properties:
DFT total energy: -53.91 eV per cell
raw formation energy: -1.49 eV per atom
offset from the most stable computed form: 0.000 eV/atom
SG: C2/m (12)
mass density: 5.7 g/cm³


Entry 3:
NdSm | PBE-GGA | optimized geometry

Lattice parameters (Å, degrees): 10.0263 10.0263 10.0263 159.31 42.07 143.78
Closest atoms and distances in Å follow each position.
Fractional positions:
Nd 0.0000 0.0000 0.0000  8 Sm 3.59-3.63, 4 Nd 3.60-3.63
Nd 0.1750 0.3336 0.8413  7 Sm 3.42-3.63, 3 Nd 3.60-3.63
Nd 0.4923 0.3336 0.1587  7 Sm 3.42-3.63, 3 Nd 3.60-3.63
Sm 0.5011 0.0011 0.5000  8 Nd 3.59-3.63, 4 Sm 3.60-3.62
Sm 0.6748 0.3335 0.3413  7 Nd 3.42-3.63, 3 Sm 3.60-3.62
Sm 0.9922 0.3335 0.6587  7 Nd 3.42-3.63, 3 Sm 3.60-3.62

Computed properties:
DFT total energy: -27.76 eV per cell
offset from the most stable computed form: 0.104 eV/atom
SG: Imm2 (44)
formation enthalpy at 0 K: 0.116 eV per atom
mass density: 7.0 g/cm³


Entry 4:
NaPa2TaS8 | PBE-GGA | optimized geometry

Lattice parameters (Å, degrees): 5.9284 8.1895 6.2346 90.00 90.83 90.00
Closest atoms and distances in Å follow each position.
Fractional positions:
Na 0.0000 0.0000 0.0000  6 S 2.76-2.90
Pa 0.5000 0.2489 0.5000  6 S 2.60-2.73
Pa 0.5000 0.7511 0.5000  6 S 2.60-2.73
Ta 0.0000 0.5000 0.0000  6 S 2.42-2.57
S 0.2256 0.2884 0.1677  1 Ta 2.42, 1 Pa 2.64
S 0.2256 0.7116 0.1677  1 Ta 2.42, 1 Pa 2.64
S 0.2654 0.5000 0.6783  1 Ta 2.57, 2 Pa 2.73
S 0.2787 0.0000 0.6494  2 Pa 2.60, 1 Na 2.76
S 0.7213 0.0000 0.3506  2 Pa 2.60, 1 Na 2.76
S 0.7346 0.5000 0.3217  1 Ta 2.57, 2 Pa 2.73
S 0.7744 0.2884 0.8323  1 Ta 2.42, 1 Pa 2.64
S 0.7744 0.7116 0.8323  1 Ta 2.42, 1 Pa 2.64

Computed properties:
DFT total energy: -79.63 eV per cell
raw formation energy: -1.20 eV per atom
SG: P2/m (10)
mass density: 5.1 g/cm³